No. 1
A plane-wave DFT calculation with GGA-PBE was carried out for a geometry-optimized BTeI3 structure.

Lattice parameters (Å, degrees): 5.1676 5.1676 5.1676 90.00 90.00 90.00
Element x y z (fractional)
I1 0.5000 0.0000 0.0000
I2 0.0000 0.5000 0.0000
I3 0.0000 0.0000 0.5000
B1 0.0000 0.0000 0.0000
Te1 0.5000 0.5000 0.5000

Energy above the most stable polymorph in this dataset   0.000 eV per atom

No. 2
A plane-wave DFT calculation with GGA-PBE was carried out for a geometry-optimized TiBTeI2 structure.

Lattice parameters (Å, degrees): 5.6154 5.6154 5.3300 90.00 90.00 90.00
Element x y z (fractional)
Te1 0.0000 0.0000 0.5000
I1 0.5000 0.0000 0.0000
I2 0.0000 0.5000 0.0000
Ti1 0.0000 0.0000 0.0000
B1 0.5000 0.5000 0.5000

Energy above the most stable polymorph in this dataset   0.000 eV per atom

No. 3
A plane-wave DFT calculation with GGA-PBE was carried out for a geometry-optimized TiBTe2I structure.

Lattice parameters (Å, degrees): 4.8189 4.8189 5.0331 90.00 90.00 90.00
Element x y z (fractional)
Te1 0.5000 0.0000 0.0000
Te2 0.0000 0.5000 0.0000
I1 0.0000 0.0000 0.5000
Ti1 0.5000 0.5000 0.5000
B1 0.0000 0.0000 0.0000

Energy above the most stable polymorph in this dataset   0.000 eV per atom

No. 4
A plane-wave DFT calculation with GGA-PBE was carried out for a geometry-optimized TiBTe2I structure.

Lattice parameters (Å, degrees): 5.2824 5.2824 5.7270 90.00 90.00 90.00
Element x y z (fractional)
B1 0.5000 0.5000 0.5000
Te1 0.0000 0.5000 0.0000
Te2 0.5000 0.0000 0.0000
Ti1 0.0000 0.0000 0.0000
I1 0.0000 0.0000 0.5000

Energy above the most stable polymorph in this dataset   0.007 eV per atom

Number 1: density of states at the Fermi level 3.91 states/eV/f.u., formation energy from raw total energies 0.813 eV/atom. Number 2: density of states at the Fermi level 4.18 states/eV/f.u., formation energy from raw total energies 0.769 eV/atom. Number 3: density of states at the Fermi level 7.43 states/eV/f.u., formation energy from raw total energies 0.800 eV/atom. Number 4: density of states at the Fermi level 2.99 states/eV/f.u., formation energy from raw total energies 0.807 eV/atom.